4
Lattice="4.2487 0.0000 0.0000 2.1243 3.6795 0.0000 2.1243 1.2265 3.4690" Properties=species:S:1:pos:R:3 comment="PBE VNiMoRh, optimized geometry" dft_energy_ev_per_atom=-8.333 formation_enthalpy_0k_ev_per_atom=-0.062 pbc="T T T"
Rh 2.1243 1.2265 0.8673
Ni 4.2487 2.4530 1.7345
V 0.0000 0.0000 0.0000
Mo 6.3730 3.6795 2.6018